# CuAu4, relaxed, DFT GGA-PBEsol
# ΔE_f in eV per atom: 0.004
# Magnetization in μB/cell: 0.00
# Energy relative to the lowest polymorph listed for this composition in meV/atom: 29
data_CuAu4
_cell_length_a 2.8589
_cell_length_b 2.8589
_cell_length_c 33.9317
_cell_angle_alpha 90.00
_cell_angle_beta 90.00
_cell_angle_gamma 120.00
_space_group_name_H-M_alt 'R -3 m'
_space_group_IT_number 166
_space_group_name_Hall '-R 3 2"'
loop_
_atom_site_label
_atom_site_type_symbol
_atom_site_fract_x
_atom_site_fract_y
_atom_site_fract_z
Cu1 Cu 0.0000 0.0000 0.0000
Au1 Au 0.0000 0.0000 0.2018
Au2 Au 0.0000 0.0000 0.3940